[1]
A plane-wave DFT calculation with GGA-PBE was carried out for TbPmAgRu after structural relaxation. Values from VASP.

Cell and atoms, written as Quantum ESPRESSO input:
```
&SYSTEM
  ibrav = 0, nat = 4, ntyp = 4
/
ATOMIC_SPECIES
Tb 158.93 Tb.upf
Pm 145.00 Pm.upf
Ag 107.87 Ag.upf
Ru 101.07 Ru.upf
CELL_PARAMETERS angstrom
0.000 3.560 3.560
3.560 0.000 3.560
3.560 3.560 0.000
ATOMIC_POSITIONS crystal
Tb 0.000 0.000 0.000
Pm 0.500 0.500 0.500
Ag 0.250 0.250 0.250
Ru 0.750 0.750 0.750
```

Values from the calculation:
mass density: 9.44 g/cm³
E_form: -0.273 eV per atom
excess energy over the best structure of this formula in the dataset: 61.4 meV/atom
total magnetic moment: 0.0 μB/cell
density of states at the Fermi level: 3.07 states/eV per cell

***

[2]
A plane-wave DFT calculation with GGA-PBE was carried out for TbPmAgRu after structural relaxation. Values from VASP.

Cell and atoms, written as Quantum ESPRESSO input:
```
&SYSTEM
  ibrav = 0, nat = 4, ntyp = 4
/
ATOMIC_SPECIES
Tb 158.93 Tb.upf
Pm 145.00 Pm.upf
Ag 107.87 Ag.upf
Ru 101.07 Ru.upf
CELL_PARAMETERS angstrom
3.467 0.000 0.000
0.000 3.467 0.000
0.000 0.000 7.632
ATOMIC_POSITIONS crystal
Tb 0.000 0.000 0.000
Pm 0.000 0.000 0.446
Ag 0.500 0.500 0.734
Ru 0.500 0.500 0.216
```

Values from the calculation:
mass density: 9.28 g/cm³
E_form: -0.334 eV per atom
excess energy over the best structure of this formula in the dataset: 0.0 meV/atom
total magnetic moment: 0.0 μB/cell
density of states at the Fermi level: 2.42 states/eV per cell

***

[3]
A plane-wave DFT calculation with GGA-PBE was carried out for PmTmAgRu after structural relaxation. Values from VASP.

Cell and atoms, written as Quantum ESPRESSO input:
```
&SYSTEM
  ibrav = 0, nat = 4, ntyp = 4
/
ATOMIC_SPECIES
Pm 145.00 Pm.upf
Tm 168.93 Tm.upf
Ag 107.87 Ag.upf
Ru 101.07 Ru.upf
CELL_PARAMETERS angstrom
3.434 0.000 0.000
0.000 3.434 0.000
0.000 0.000 7.584
ATOMIC_POSITIONS crystal
Pm 0.000 0.000 0.000
Tm 0.000 0.000 0.555
Ag 0.500 0.500 0.297
Ru 0.500 0.500 0.765
```

Values from the calculation:
mass density: 9.71 g/cm³
E_form: -0.372 eV per atom
excess energy over the best structure of this formula in the dataset: 0.0 meV/atom
total magnetic moment: 0.0 μB/cell
density of states at the Fermi level: 2.56 states/eV per cell

***

[4]
A plane-wave DFT calculation with GGA-PBE was carried out for PmTmAgRu after structural relaxation. Values from VASP.

Cell and atoms, written as Quantum ESPRESSO input:
```
&SYSTEM
  ibrav = 0, nat = 4, ntyp = 4
/
ATOMIC_SPECIES
Pm 145.00 Pm.upf
Tm 168.93 Tm.upf
Ag 107.87 Ag.upf
Ru 101.07 Ru.upf
CELL_PARAMETERS angstrom
0.000 3.532 3.532
3.532 0.000 3.532
3.532 3.532 0.000
ATOMIC_POSITIONS crystal
Pm 0.000 0.000 0.000
Tm 0.500 0.500 0.500
Ag 0.750 0.750 0.750
Ru 0.250 0.250 0.250
```

Values from the calculation:
mass density: 9.85 g/cm³
E_form: -0.299 eV per atom
excess energy over the best structure of this formula in the dataset: 72.4 meV/atom
total magnetic moment: 0.0 μB/cell
density of states at the Fermi level: 2.87 states/eV per cell

***

[5]
A plane-wave DFT calculation with GGA-PBE was carried out for PmYAgRu after structural relaxation. Values from VASP.

Cell and atoms, written as Quantum ESPRESSO input:
```
&SYSTEM
  ibrav = 0, nat = 4, ntyp = 4
/
ATOMIC_SPECIES
Pm 145.00 Pm.upf
Y 88.91 Y.upf
Ag 107.87 Ag.upf
Ru 101.07 Ru.upf
CELL_PARAMETERS angstrom
0.000 3.559 3.559
3.559 0.000 3.559
3.559 3.559 0.000
ATOMIC_POSITIONS crystal
Pm 0.000 0.000 0.000
Y 0.500 0.500 0.500
Ag 0.750 0.750 0.750
Ru 0.250 0.250 0.250
```

Values from the calculation:
mass density: 8.16 g/cm³
E_form: -0.274 eV per atom
excess energy over the best structure of this formula in the dataset: 59.4 meV/atom
total magnetic moment: 0.0 μB/cell
density of states at the Fermi level: 3.12 states/eV per cell

***

[6]
A plane-wave DFT calculation with GGA-PBE was carried out for PmYAgRu after structural relaxation. Values from VASP.

Cell and atoms, written as Quantum ESPRESSO input:
```
&SYSTEM
  ibrav = 0, nat = 4, ntyp = 4
/
ATOMIC_SPECIES
Pm 145.00 Pm.upf
Y 88.91 Y.upf
Ag 107.87 Ag.upf
Ru 101.07 Ru.upf
CELL_PARAMETERS angstrom
3.470 0.000 0.000
0.000 3.470 0.000
0.000 0.000 7.604
ATOMIC_POSITIONS crystal
Pm 0.000 0.000 0.000
Y 0.000 0.000 0.553
Ag 0.500 0.500 0.289
Ru 0.500 0.500 0.771
```

Values from the calculation:
mass density: 8.03 g/cm³
E_form: -0.333 eV per atom
excess energy over the best structure of this formula in the dataset: 0.0 meV/atom
total magnetic moment: 0.0 μB/cell
density of states at the Fermi level: 2.46 states/eV per cell